Entry 1:
CsLi2ScZn, relaxed, DFT PBE; energy of formation = 697 meV per atom
1.0
5.302 0.000 0.000
0.000 5.302 0.000
0.000 0.000 6.228
Cs Li Sc Zn
1 2 1 1
Cartesian
0.000 0.000 0.000
0.000 2.651 3.114
2.651 0.000 3.114
2.651 2.651 0.000
0.000 0.000 3.114

***

Entry 2:
Dy2Tm4In, relaxed, DFT PBE; energy of formation = -7 meV per atom
1.0
6.482 0.000 0.000
0.000 6.166 0.000
0.000 0.000 10.575
Dy Tm In
4 8 2
Cartesian
0.000 1.493 0.012
0.000 4.673 10.564
3.241 1.493 5.276
3.241 4.673 5.300
0.000 0.008 3.458
0.000 6.158 7.117
1.620 3.072 7.932
1.620 3.095 2.644
3.241 0.008 1.830
3.241 6.158 8.746
4.861 3.072 7.932
4.861 3.095 2.644
0.000 3.083 5.288
3.241 3.083 0.000